Computed, not measured: a geometry-optimized ScCu2Sb structure at the GGA-PBE level of DFT.

Values from the calculation:
Crystal system: tetragonal
Theoretical density: 6.30 g cm⁻³
Formation energy (no corrections): -0.2 eV per formula unit
E: -4.711 eV per atom

Unit cell a=4.062 b=4.062 c=9.811 alpha=78.05 beta=78.05 gamma=90.00
Positions (direct):
1 Sc 0.500 0.500 0.000
2 Sc 0.250 0.750 0.500
3 Sb 0.000 0.000 0.000
4 Sb 0.750 0.250 0.500
5 Cu 0.640 0.125 0.250
6 Cu 0.110 0.625 0.250
7 Cu 0.375 0.360 0.750
8 Cu 0.875 0.890 0.750